Ba2CuAgH6 (PBE-GGA, relaxed); space-group type = Fmmm, No. 69; total magnetization = 0.00 μB/cell; calculated density = 5.7 Mg/m³; DFT total energy = -3.379 eV/atom
1.0
5.757 -0.008 -0.001
-0.008 5.757 -0.001
-2.875 -2.875 4.003
Ba Cu Ag H
2 1 1 6
Direct
0.750 0.250 0.500
0.250 0.751 0.500
0.000 0.000 0.000
0.500 0.500 0.000
0.781 0.782 0.000
0.743 0.743 0.486
0.219 0.219 0.999
0.780 0.220 0.000
0.257 0.257 0.513
0.220 0.781 0.000